Run 1
Computed, not measured: a geometry-optimized Pm3Y2Ag2 structure at the PBE-GGA level of DFT.

Lattice parameters (Å, degrees): 3.7942 6.7633 9.3115 114.05 90.00 106.29
Closest atoms and distances in Å follow each position.
Positions (direct):
Pm  0.5000  0.0000  0.0000  4 Ag 3.01
Ag  0.1744  0.3488  0.2226  5 Pm 3.01-3.17, 2 Y 3.11
Ag  0.8256  0.6512  0.7774  5 Pm 3.01-3.17, 2 Y 3.11
Pm  0.3895  0.7791  0.5546  3 Ag 3.17, 1 Pm 3.43
Pm  0.6105  0.2209  0.4454  3 Ag 3.17, 1 Pm 3.43
Y  0.1479  0.2957  0.8125  2 Ag 3.11
Y  0.8521  0.7043  0.1875  2 Ag 3.11

Values from the calculation:
Crystal system = monoclinic
Total magnetic moment = 0.00 μB per formula unit
Space group = No. 12

=====

Run 2
Computed, not measured: a geometry-optimized Pm3Y2Ag2 structure at the PBE-GGA level of DFT.

Lattice parameters (Å, degrees): 4.8598 3.4773 11.9887 90.00 78.31 90.00
Closest atoms and distances in Å follow each position.
Positions (direct):
Pm  0.1378  0.0000  0.7243  3 Pm 3.24-3.48, 4 Ag 3.39, 4 Y 3.41
Ag  0.5699  0.5000  0.8602  1 Y 3.24, 3 Ag 3.28-3.48, 8 Pm 3.39-3.41
Pm  0.0000  0.0000  0.0000  4 Pm 3.24-3.48, 8 Ag 3.41
Ag  0.4301  0.5000  0.1398  1 Y 3.24, 3 Ag 3.28-3.48, 8 Pm 3.39-3.41
Pm  0.8622  0.0000  0.2757  3 Pm 3.24-3.48, 4 Ag 3.39, 4 Y 3.41
Y  0.2923  0.5000  0.4154  4 Y 3.14-3.48, 1 Ag 3.24, 4 Pm 3.41
Y  0.7077  0.5000  0.5846  4 Y 3.14-3.48, 1 Ag 3.24, 4 Pm 3.41

Values from the calculation:
Crystal system = orthorhombic
Total magnetic moment = 0.00 μB per formula unit
Space group = No. 65

=====

Verdict on stability: run 2 comes out at the bottom.

=====

Run 1
Computed, not measured: a geometry-optimized PmYZnAg structure at the PBE-GGA level of DFT.

Lattice parameters (Å, degrees): 3.6489 3.6489 7.3180 90.00 90.00 90.00
Closest atoms and distances in Å follow each position.
Positions (direct):
Zn  0.5000  0.5000  0.5975  4 Y 3.10, 4 Pm 3.16
Ag  0.5000  0.5000  0.1192  4 Y 3.14, 4 Pm 3.26, 1 Zn 3.50
Y  0.0000  0.0000  0.3635  4 Zn 3.10, 4 Ag 3.14
Pm  0.0000  0.0000  0.8478  4 Zn 3.16, 4 Ag 3.26

Values from the calculation:
Crystal system = tetragonal
Total magnetic moment = 0.00 μB per formula unit
Space group = No. 99

=====

Run 2
Computed, not measured: a geometry-optimized PmYZnAg structure at the PBE-GGA level of DFT.

Lattice parameters (Å, degrees): 5.1749 5.1749 5.1749 60.00 60.00 60.00
Closest atoms and distances in Å follow each position.
Positions (direct):
Zn  0.5000  0.5000  0.5000  4 Y 3.17, 4 Pm 3.17
Ag  0.0000  0.0000  0.0000  4 Pm 3.17, 4 Y 3.17
Pm  0.2500  0.2500  0.2500  4 Zn 3.17, 4 Ag 3.17
Y  0.7500  0.7500  0.7500  4 Zn 3.17, 4 Ag 3.17

Values from the calculation:
Crystal system = cubic
Total magnetic moment = 0.00 μB per formula unit
Space group = No. 216

=====

Verdict on stability: run 2 comes out at the bottom.